DFT (GGA-PBE) results for a relaxed structure of Ta2MoSe.

Calculated values
For the density of states at the Fermi level, the calculation gives 24.703 states/eV/cell. The space-group type is F-43m (216). The formation energy without anion corrections comes out at 0.374 eV/atom. For the electronic total energy, the calculation gives -9.13 eV per atom.

```
Ta2MoSe
1.0
6.510 0.000 0.000
0.000 6.510 0.000
0.000 0.000 6.510
Ta Mo Se
8 4 4
direct
0.000 0.000 0.000
0.000 0.500 0.500
0.250 0.250 0.250
0.250 0.750 0.750
0.500 0.000 0.500
0.500 0.500 0.000
0.750 0.250 0.750
0.750 0.750 0.250
0.000 0.000 0.500
0.000 0.500 0.000
0.500 0.000 0.000
0.500 0.500 0.500
0.250 0.250 0.750
0.250 0.750 0.250
0.750 0.250 0.250
0.750 0.750 0.750
```